Material: BaZn2P
Method: DFT, GGA-PBEsol
State: relaxed

Cell and atoms, written as POSCAR:
```
BaZn2P
1.0
3.109 -0.011 0.000
-0.109 5.348 0.000
-1.500 -2.668 5.563
Ba P Zn
1 1 2
Cartesian
1.554 -0.006 0.000 Ba
-0.055 2.674 0.000 P
-0.750 -1.334 2.782 Zn
0.750 1.334 2.782 Zn
```

Output
The value obtained for the total magnetization is 0.0 μB/f.u. As for the space-group type: C2/m (12). The density of states at the Fermi level comes out at 1.223 states/eV/cell. The density comes out at 5.37 g/cm³. The formation energy is 66 kJ/mol of formula units. For the total DFT energy (no corrections), the calculation gives -2.6039 eV per atom.

=====

Material: BaZn2P
Method: DFT, GGA-PBEsol
State: relaxed

Cell and atoms, written as POSCAR:
```
BaZn2P
1.0
-1.013 -3.273 1.610
0.920 -4.207 -3.524
4.489 -3.194 0.781
Ba P Zn
1 1 2
Cartesian
-0.506 -1.636 0.805 Ba
2.705 -3.700 -1.371 P
3.380 -6.097 -1.368 Zn
1.016 -4.577 0.235 Zn
```

Output
The value obtained for the total magnetization is 0.0 μB/f.u. As for the space-group type: Immm (71). The density of states at the Fermi level comes out at 1.647 states/eV/cell. The density comes out at 5.26 g/cm³. The formation energy is -60 kJ/mol of formula units. For the total DFT energy (no corrections), the calculation gives -2.9308 eV per atom.

=====

Material: BaZnP
Method: DFT, GGA-PBEsol
State: relaxed

Cell and atoms, written as POSCAR:
```
BaZnP
1.0
4.104 0.000 0.000
-2.052 3.554 0.000
0.000 0.000 4.928
P Zn Ba
1 1 1
Cartesian
0.000 2.370 0.000 P
2.052 1.185 0.000 Zn
0.000 0.000 2.464 Ba
```

Output
The value obtained for the total magnetization is 0.3 μB/f.u. As for the space-group type: P-6m2 (187). The density of states at the Fermi level comes out at 2.302 states/eV/cell. The density comes out at 5.40 g/cm³. The formation energy is -197 kJ/mol of formula units. For the total DFT energy (no corrections), the calculation gives -3.8538 eV per atom.

=====

Material: Ba2ZnP
Method: DFT, GGA-PBEsol
State: relaxed

Cell and atoms, written as POSCAR:
```
Ba2ZnP
1.0
-0.802 -4.641 2.867
4.306 -2.692 2.149
0.783 -0.038 5.458
Ba P Zn
2 1 1
Cartesian
3.215 -5.528 7.856 Ba
1.072 -1.843 2.619 Ba
2.143 -3.685 5.237 P
0.000 0.000 0.000 Zn
```

Output
The value obtained for the total magnetization is 0.0 μB/f.u. As for the space-group type: Fm-3m (225). The density of states at the Fermi level comes out at 4.101 states/eV/cell. The density comes out at 5.20 g/cm³. The formation energy is -185 kJ/mol of formula units. For the total DFT energy (no corrections), the calculation gives -3.3962 eV per atom.

=====

Material: Ba2ZnP
Method: DFT, GGA-PBEsol
State: relaxed

Cell and atoms, written as POSCAR:
```
Ba2ZnP
1.0
4.288 0.000 0.000
0.000 4.703 0.000
0.000 -2.351 6.004
Ba P Zn
2 1 1
Cartesian
0.000 0.000 0.171 Ba
2.144 2.351 2.783 Ba
2.144 0.000 5.268 P
0.000 0.000 3.786 Zn
```

Output
The value obtained for the total magnetization is 0.4 μB/f.u. As for the space-group type: Amm2 (38). The density of states at the Fermi level comes out at 3.292 states/eV/cell. The density comes out at 5.09 g/cm³. The formation energy is -226 kJ/mol of formula units. For the total DFT energy (no corrections), the calculation gives -3.5024 eV per atom.

=====

Material: BaZnP
Method: DFT, GGA-PBEsol
State: relaxed

Cell and atoms, written as POSCAR:
```
BaZnP
1.0
-2.351 -2.463 -3.642
-4.152 -2.571 1.006
-4.407 1.629 -1.669
Ba P Zn
1 1 1
Cartesian
-5.455 -1.702 -2.153 Ba
-2.727 -0.851 -1.076 P
0.000 0.000 0.000 Zn
```

Output
The value obtained for the total magnetization is 0.0 μB/f.u. As for the space-group type: F-43m (216). The density of states at the Fermi level comes out at 1.945 states/eV/cell. The density comes out at 4.43 g/cm³. The formation energy is -69 kJ/mol of formula units. For the total DFT energy (no corrections), the calculation gives -3.4117 eV per atom.

=====

Material: BaZr2P
Method: DFT, GGA-PBEsol
State: relaxed

Cell and atoms, written as POSCAR:
```
BaZr2P
1.0
4.145 0.000 0.000
0.000 4.551 0.000
0.000 0.000 4.551
Ba P Zr
1 1 2
Cartesian
2.072 2.276 2.276 Ba
2.072 0.000 0.000 P
0.000 0.000 2.276 Zr
0.000 2.276 0.000 Zr
```

Output
The value obtained for the total magnetization is 0.0 μB/f.u. As for the space-group type: P4/mmm (123). The density of states at the Fermi level comes out at 4.155 states/eV/cell. The density comes out at 6.78 g/cm³. The formation energy is 38 kJ/mol of formula units. For the total DFT energy (no corrections), the calculation gives -6.4315 eV per atom.

=====

Material: BaZr2P
Method: DFT, GGA-PBEsol
State: relaxed

Cell and atoms, written as POSCAR:
```
BaZr2P
1.0
3.456 0.000 0.000
0.000 5.674 0.000
-1.728 -2.837 5.097
Ba P Zr
1 1 2
Cartesian
1.728 0.000 0.000 Ba
0.000 2.837 0.000 P
1.728 2.837 1.853 Zr
0.000 0.000 3.244 Zr
```

Output
The value obtained for the total magnetization is 0.0 μB/f.u. As for the space-group type: Immm (71). The density of states at the Fermi level comes out at 4.274 states/eV/cell. The density comes out at 5.83 g/cm³. The formation energy is -118 kJ/mol of formula units. For the total DFT energy (no corrections), the calculation gives -6.8361 eV per atom.

=====

Material: Ba5Pb
Method: DFT, GGA-PBEsol
State: relaxed

Cell and atoms, written as POSCAR:
```
Ba5Pb
1.0
-2.403 -3.877 -3.047
3.198 1.545 -4.488
7.587 -3.992 4.032
Ba Pb
5 1
Cartesian
5.957 -3.275 -0.532 Ba
1.846 -1.715 0.725 Ba
1.599 0.773 -2.244 Ba
3.338 -6.154 0.260 Ba
2.425 -3.049 -2.971 Ba
-1.202 -1.938 -1.524 Pb
```

Output
The value obtained for the total magnetization is 0.0 μB/f.u. As for the space-group type: Cmmm (65). The density of states at the Fermi level comes out at 6.914 states/eV/cell. The density comes out at 5.21 g/cm³. The formation energy is -102 kJ/mol of formula units. For the total DFT energy (no corrections), the calculation gives -2.6327 eV per atom.

=====

Material: BaPb2
Method: DFT, GGA-PBEsol
State: relaxed

Cell and atoms, written as POSCAR:
```
BaPb2
1.0
-0.813 -1.408 3.732
-3.557 -1.469 -1.328
4.933 -3.929 -2.628
Pb Ba
2 1
Cartesian
1.688 -3.297 -0.876 Pb
-1.124 -3.509 0.652 Pb
0.000 0.000 0.000 Ba
```

Output
The value obtained for the total magnetization is 0.0 μB/f.u. As for the space-group type: I4/mmm (139). The density of states at the Fermi level comes out at 1.828 states/eV/cell. The density comes out at 8.92 g/cm³. The formation energy is -107 kJ/mol of formula units. For the total DFT energy (no corrections), the calculation gives -3.7526 eV per atom.

=====

Material: Ba5Pb3
Method: DFT, GGA-PBEsol
State: relaxed

Cell and atoms, written as POSCAR:
```
Ba5Pb3
1.0
9.158 0.000 0.000
0.000 9.158 0.000
-4.579 -4.579 8.772
Pb Ba
6 10
Cartesian
4.579 4.579 4.386 Pb
0.000 0.000 4.386 Pb
8.057 3.478 0.000 Pb
1.101 5.680 0.000 Pb
5.680 8.057 0.000 Pb
3.478 1.101 0.000 Pb
4.579 4.579 0.000 Ba
0.000 0.000 0.000 Ba
6.193 1.614 2.517 Ba
2.965 7.544 2.517 Ba
7.544 6.193 2.517 Ba
1.614 2.965 2.517 Ba
2.965 1.614 6.255 Ba
-2.965 -1.614 6.255 Ba
1.614 -2.965 6.255 Ba
-1.614 2.965 6.255 Ba
```

Output
The value obtained for the total magnetization is 0.0 μB/f.u. As for the space-group type: I4/mcm (140). The density of states at the Fermi level comes out at 4.986 states/eV/cell. The density comes out at 5.91 g/cm³. The formation energy is -429 kJ/mol of formula units. For the total DFT energy (no corrections), the calculation gives -3.3983 eV per atom.

=====

Material: BaPb
Method: DFT, GGA-PBEsol
State: relaxed

Cell and atoms, written as POSCAR:
```
BaPb
1.0
-2.180 -0.970 6.416
6.108 1.162 -2.865
-0.669 4.708 0.485
Pb Ba
2 2
Cartesian
0.814 3.461 2.865 Pb
2.445 1.440 1.171 Pb
-1.574 2.846 5.539 Ba
4.832 2.054 -1.503 Ba
```

Output
The value obtained for the total magnetization is 0.0 μB/f.u. As for the space-group type: Cmcm (63). The density of states at the Fermi level comes out at 1.495 states/eV/cell. The density comes out at 7.16 g/cm³. The formation energy is -117 kJ/mol of formula units. For the total DFT energy (no corrections), the calculation gives -3.6797 eV per atom.